Entry from Alexandria via LeMat-Bulk: an optimized crystal structure of Ga12Sn3Te5 (PBE).

a b c (Å): 16.8754 16.8754 16.8754
angles (deg): 90.00 90.00 90.00
Space group Ia-3d (No. 230)
Asymmetric unit:
Ga (0.0063, 0.0744, 0.6578) x96
Sn (0.0000, 0.2500, 0.1250) x24
Te (0.0000, 0.0000, 0.0000) x16
Te (0.0000, 0.2500, 0.3750) x24

Results
Energy relative to the elements, uncorrected in kJ/mol of formula units: 41